DFT (GGA+U) results for a relaxed structure of Na4Tm3FeO8.

Cell: 7.1443 7.1443 6.7684 Å, 115.53 115.53 56.30°
Atoms (fractional coordinates):
Na1 0.0000 0.0000 0.0000
Na2 0.0000 0.5000 0.0000
Na3 0.5000 0.0000 0.0000
Na4 0.5000 0.5000 0.0000
Tm1 0.0000 0.0000 0.5000
Tm2 0.0000 0.5000 0.5000
Tm3 0.5000 0.0000 0.5000
Fe1 0.5000 0.5000 0.5000
O1 0.1907 0.7060 0.6603
O2 0.2170 0.2170 0.2534
O3 0.2940 0.8093 0.3397
O4 0.3336 0.3336 0.2298
O5 0.6664 0.6664 0.7702
O6 0.7060 0.1907 0.6603
O7 0.7830 0.7830 0.7466
O8 0.8093 0.2940 0.3397

Properties
Density (g/cm3): 5.2
D(E_F) (states/eV/cell): 2.7
Uncorrected energy (eV/atom): -5.691